No. 1
ReH4NO4 | GGA-PBE | relaxed

It has space group I4_1/a (No. 88, origin choice 2), with a = 6.375 Å, b = 6.375 Å, c = 11.999 Å, α = 90.00°, β = 90.00° and γ = 90.00°. The distinct sites, in fractional coordinates, are Re at (0.000, 0.250, 0.125), H at (0.039, 0.124, 0.676), N at (0.000, 0.250, 0.625) and O at (0.108, 0.447, 0.209).

The value obtained for the total energy is -261.010 eV per cell.

=====

No. 2
ReHN2O | GGA-PBE | relaxed

It has space group P4/mmm (No. 123), with a = 3.038 Å, b = 3.038 Å, c = 4.000 Å, α = 90.00°, β = 90.00° and γ = 90.00°. The distinct sites, in fractional coordinates, are Re at (0.000, 0.000, 0.000), H at (0.500, 0.500, 0.500), N at (0.000, 0.500, 0.500) and O at (0.500, 0.500, 0.000).

The value obtained for the total energy is -29.831 eV per cell.

=====

No. 3
ReHN2O | GGA-PBE | relaxed

It has space group P4/mmm (No. 123), with a = 3.886 Å, b = 3.886 Å, c = 3.823 Å, α = 90.00°, β = 90.00° and γ = 90.00°. The distinct sites, in fractional coordinates, are Re at (0.000, 0.000, 0.000), H at (0.500, 0.500, 0.500), N at (0.000, 0.500, 0.000) and O at (0.000, 0.000, 0.500).

The value obtained for the total energy is -34.432 eV per cell.